DFT (GGA-PBE) results for a relaxed structure of RbNaHg2.

Output
total magnetic moment	0.000	μB/f.u.
symmetry	I-42d
ΔE_f	-0.473	eV per formula unit

a b c (Å): 5.6819 5.6819 21.5661
angles (deg): 90.00 90.00 90.00
Closest atoms and distances in Å follow each position.
Fractional coordinates of all 16 atoms:
Rb1 0.0000 0.0000 0.0000  4 Hg 3.82, 4 Na 4.02
Rb2 0.0000 0.5000 0.2500  4 Hg 3.82, 4 Na 4.02
Rb3 0.5000 0.0000 0.7500  4 Hg 3.82, 4 Na 4.02
Rb4 0.5000 0.5000 0.5000  4 Hg 3.82, 4 Na 4.02
Na1 0.0000 0.0000 0.5000  4 Hg 3.09
Na2 0.0000 0.5000 0.7500  4 Hg 3.09
Na3 0.5000 0.0000 0.2500  4 Hg 3.09
Na4 0.5000 0.5000 0.0000  4 Hg 3.09
Hg1 0.0941 0.2500 0.6250  2 Hg 3.04, 2 Na 3.09
Hg2 0.2500 0.5941 0.8750  2 Hg 3.04, 2 Na 3.09
Hg3 0.2500 0.9059 0.3750  2 Hg 3.04, 2 Na 3.09
Hg4 0.4059 0.2500 0.1250  2 Hg 3.04, 2 Na 3.09
Hg5 0.5941 0.7500 0.1250  2 Hg 3.04, 2 Na 3.09
Hg6 0.7500 0.0941 0.3750  2 Hg 3.04, 2 Na 3.09
Hg7 0.7500 0.4059 0.8750  2 Hg 3.04, 2 Na 3.09
Hg8 0.9059 0.7500 0.6250  2 Hg 3.04, 2 Na 3.09